(1)
# CsCa2MoPt | the Alexandria database | PBE-GGA | relaxed
data_CsCa2MoPt
_cell_length_a 5.8433
_cell_length_b 5.8433
_cell_length_c 5.1396
_cell_angle_alpha 90.00
_cell_angle_beta 90.00
_cell_angle_gamma 90.00
_space_group_name_H-M_alt 'P 4/m m m'
_space_group_IT_number 123
_space_group_name_Hall '-P 4 2'
loop_
_atom_site_label
_atom_site_fract_x
_atom_site_fract_y
_atom_site_fract_z
Cs1 0.0000 0.0000 0.0000
Ca1 0.0000 0.5000 0.0000
Mo1 0.5000 0.5000 0.5000
Pt1 0.0000 0.0000 0.5000
# Total energy = -2.5675 eV per atom
# Total magnetic moment = 0.71 μB/atom
# Formation enthalpy at 0 K = 1.778 eV per atom
# D(E_F) = 0.694 states/eV/atom

---

(2)
# CsRb2CaMo | the Alexandria database | PBE-GGA | relaxed
data_CsRb2CaMo
_cell_length_a 7.7185
_cell_length_b 7.7185
_cell_length_c 7.7701
_cell_angle_alpha 90.00
_cell_angle_beta 90.00
_cell_angle_gamma 90.00
_space_group_name_H-M_alt 'P 4/m m m'
_space_group_IT_number 123
_space_group_name_Hall '-P 4 2'
loop_
_atom_site_label
_atom_site_fract_x
_atom_site_fract_y
_atom_site_fract_z
Cs1 0.0000 0.0000 0.0000
Rb1 0.0000 0.5000 0.0000
Ca1 0.0000 0.0000 0.5000
Mo1 0.5000 0.5000 0.5000
# Total energy = -1.4795 eV per atom
# Total magnetic moment = 0.98 μB/atom
# Formation enthalpy at 0 K = 1.645 eV per atom
# D(E_F) = 1.482 states/eV/atom

---

(3)
# Cs3CaN | the Alexandria database | PBE-GGA | relaxed
data_Cs3CaN
_cell_length_a 6.4065
_cell_length_b 6.4065
_cell_length_c 6.4065
_cell_angle_alpha 90.00
_cell_angle_beta 90.00
_cell_angle_gamma 90.00
_space_group_name_H-M_alt 'P m -3 m'
_space_group_IT_number 221
_space_group_name_Hall '-P 4 2 3'
loop_
_atom_site_label
_atom_site_fract_x
_atom_site_fract_y
_atom_site_fract_z
Cs1 0.0000 0.0000 0.5000
Ca1 0.5000 0.5000 0.5000
N1 0.0000 0.0000 0.0000
# Total energy = -1.8782 eV per atom
# Total magnetic moment = 0.00 μB/atom
# Relative energy among the computed polymorphs = 0.0 meV per atom
# Formation energy (no corrections) = 67 kJ per mole of atoms
# D(E_F) = 2.972 states/eV/atom

---

(4)
# CsCaN2 | the Alexandria database | PBE-GGA | relaxed
data_CsCaN2
_cell_length_a 3.8260
_cell_length_b 3.8260
_cell_length_c 20.6649
_cell_angle_alpha 90.00
_cell_angle_beta 90.00
_cell_angle_gamma 120.00
_space_group_name_H-M_alt 'R -3 m'
_space_group_IT_number 166
_space_group_name_Hall '-R 3 2"'
loop_
_atom_site_label
_atom_site_fract_x
_atom_site_fract_y
_atom_site_fract_z
Cs1 0.0000 0.0000 0.0000
Ca1 0.0000 0.0000 0.5000
N1 0.0000 0.0000 0.1087
# Total energy = -4.0815 eV per atom
# Total magnetic moment = 0.25 μB/atom
# Relative energy among the computed polymorphs = 18.7 meV per atom
# Formation energy (no corrections) = 77 kJ per mole of atoms
# D(E_F) = 0.827 states/eV/atom

---

(5)
# CsCa2N | the Alexandria database | PBE-GGA | relaxed
data_CsCa2N
_cell_length_a 7.6405
_cell_length_b 7.6405
_cell_length_c 10.8166
_cell_angle_alpha 90.00
_cell_angle_beta 90.00
_cell_angle_gamma 90.00
_space_group_name_H-M_alt 'I -4 2 d'
_space_group_IT_number 122
_space_group_name_Hall 'I -4 2bw'
loop_
_atom_site_label
_atom_site_fract_x
_atom_site_fract_y
_atom_site_fract_z
Cs1 0.0000 0.0000 0.0000
Ca1 0.0007 0.7500 0.6250
N1 0.0000 0.0000 0.5000
# Total energy = -3.5383 eV per atom
# Total magnetic moment = 0.00 μB/atom
# Formation energy (no corrections) = -23 kJ per mole of atoms
# D(E_F) = 0.660 states/eV/atom

---

(6)
# CsCaN2 | the Alexandria database | PBE-GGA | relaxed
data_CsCaN2
_cell_length_a 5.0622
_cell_length_b 5.0622
_cell_length_c 15.4204
_cell_angle_alpha 90.00
_cell_angle_beta 90.00
_cell_angle_gamma 90.00
_space_group_name_H-M_alt 'I 41/a m d'
_space_group_IT_number 141
loop_
_space_group_symop_operation_xyz
'x,y,z'
'-x,-y,-z'
'-y+1/4,x+3/4,z+1/4'
'y+1/4,-x+3/4,-z+1/4'
'-x+1/2,-y,z+1/2'
'x+1/2,y,-z+1/2'
'y+1/4,-x+1/4,z+3/4'
'-y+1/4,x+1/4,-z+3/4'
'x,-y,-z'
'-x,y,z'
'-y+1/4,-x+1/4,-z+3/4'
'y+1/4,x+1/4,z+3/4'
'-x+1/2,y,-z+1/2'
'x+1/2,-y,z+1/2'
'y+1/4,x+3/4,-z+1/4'
'-y+1/4,-x+3/4,z+1/4'
'x+1/2,y+1/2,z+1/2'
'-x+1/2,-y+1/2,-z+1/2'
'-y+3/4,x+1/4,z+3/4'
'y+3/4,-x+1/4,-z+3/4'
'-x,-y+1/2,z'
'x,y+1/2,-z'
'y+3/4,-x+3/4,z+1/4'
'-y+3/4,x+3/4,-z+1/4'
'x+1/2,-y+1/2,-z+1/2'
'-x+1/2,y+1/2,z+1/2'
'-y+3/4,-x+3/4,-z+1/4'
'y+3/4,x+3/4,z+1/4'
'-x,y+1/2,-z'
'x,-y+1/2,z'
'y+3/4,x+1/4,-z+3/4'
'-y+3/4,-x+1/4,z+3/4'
loop_
_atom_site_label
_atom_site_fract_x
_atom_site_fract_y
_atom_site_fract_z
Cs1 0.0000 0.2500 0.3750
Ca1 0.0000 0.2500 0.8750
N1 0.0000 0.0000 0.0000
# Total energy = -4.1002 eV per atom
# Total magnetic moment = 0.30 μB/atom
# Relative energy among the computed polymorphs = 0.0 meV per atom
# Formation energy (no corrections) = 75 kJ per mole of atoms
# D(E_F) = 0.609 states/eV/atom

---

(7)
# CsCaNO2 | the Alexandria database | PBE-GGA | relaxed
data_CsCaNO2
_cell_length_a 4.5937
_cell_length_b 4.5937
_cell_length_c 5.0207
_cell_angle_alpha 90.00
_cell_angle_beta 90.00
_cell_angle_gamma 90.00
_space_group_name_H-M_alt 'P 4/m m m'
_space_group_IT_number 123
_space_group_name_Hall '-P 4 2'
loop_
_atom_site_label
_atom_site_fract_x
_atom_site_fract_y
_atom_site_fract_z
Cs1 0.0000 0.0000 0.0000
Ca1 0.5000 0.5000 0.5000
N1 0.5000 0.5000 0.0000
O1 0.0000 0.5000 0.5000
# Total energy = -4.4668 eV per atom
# Total magnetic moment = 0.54 μB/atom
# Formation energy (no corrections) = -24 kJ per mole of atoms
# D(E_F) = 1.566 states/eV/atom

---

(8)
# CsCaNO2 | the Alexandria database | PBE-GGA | relaxed
data_CsCaNO2
_cell_length_a 4.4824
_cell_length_b 4.4824
_cell_length_c 4.3741
_cell_angle_alpha 90.00
_cell_angle_beta 90.00
_cell_angle_gamma 90.00
_space_group_name_H-M_alt 'P 4/m m m'
_space_group_IT_number 123
_space_group_name_Hall '-P 4 2'
loop_
_atom_site_label
_atom_site_fract_x
_atom_site_fract_y
_atom_site_fract_z
Cs1 0.0000 0.0000 0.0000
Ca1 0.5000 0.5000 0.5000
N1 0.0000 0.0000 0.5000
O1 0.0000 0.5000 0.0000
# Total energy = -3.7947 eV per atom
# Total magnetic moment = 0.04 μB/atom
# Formation energy (no corrections) = 41 kJ per mole of atoms
# D(E_F) = 0.831 states/eV/atom